# RbCd6F12, optimized geometry, DFT PBE
data_RbCd6F12
_symmetry_space_group_name_H-M 'P 1'
_symmetry_Int_Tables_number 1
_symmetry_space_group_name_Hall 'P 1'
_cell_length_a 7.051
_cell_length_b 7.051
_cell_length_c 7.051
_cell_angle_alpha 106.99
_cell_angle_beta 106.99
_cell_angle_gamma 106.99
loop_
_atom_site_label
_atom_site_type_symbol
_atom_site_fract_x
_atom_site_fract_y
_atom_site_fract_z
Rb1 Rb 0.000 0.000 0.000
Cd1 Cd 0.252 0.252 0.654
Cd2 Cd 0.252 0.654 0.252
Cd3 Cd 0.346 0.748 0.748
Cd4 Cd 0.654 0.252 0.252
Cd5 Cd 0.748 0.346 0.748
Cd6 Cd 0.748 0.748 0.346
F1 F 0.126 0.500 0.874
F2 F 0.126 0.874 0.500
F3 F 0.167 0.433 0.433
F4 F 0.433 0.167 0.433
F5 F 0.433 0.433 0.167
F6 F 0.500 0.126 0.874
F7 F 0.500 0.874 0.126
F8 F 0.567 0.567 0.833
F9 F 0.567 0.833 0.567
F10 F 0.833 0.567 0.567
F11 F 0.874 0.126 0.500
F12 F 0.874 0.500 0.126
# Raw formation energy   -199.00 kJ per mole of atoms
# SG   R-3m, No. 166

---

# Rb4CdF2, optimized geometry, DFT PBE
data_Rb4CdF2
_symmetry_space_group_name_H-M 'P 1'
_symmetry_Int_Tables_number 1
_symmetry_space_group_name_Hall 'P 1'
_cell_length_a 9.422
_cell_length_b 9.422
_cell_length_c 9.422
_cell_angle_alpha 138.93
_cell_angle_beta 138.93
_cell_angle_gamma 59.49
loop_
_atom_site_label
_atom_site_type_symbol
_atom_site_fract_x
_atom_site_fract_y
_atom_site_fract_z
Rb1 Rb 0.000 0.500 0.500
Rb2 Rb 0.244 0.244 0.000
Rb3 Rb 0.500 0.000 0.500
Rb4 Rb 0.756 0.756 0.000
Cd1 Cd 0.500 0.500 0.000
F1 F 0.095 0.095 0.000
F2 F 0.905 0.905 0.000
# Raw formation energy   -105.87 kJ per mole of atoms
# SG   I4/mmm, No. 139

---

raw formation energy of number 1 (RbCd6F12)? -199.00 kJ per mole of atoms